No. 1
Computed, not measured: a geometry-optimized LiMnBr2 structure at the PBE level of DFT.

abc: 6.938 6.938 6.938
angles: 90.00 90.00 90.00
Space group Fm-3m (No. 225)
Inequivalent atoms, fractional coordinates:
Li1 0.000 0.000 0.000 [4 per cell]
Mn1 0.000 0.000 0.500 [4 per cell]
Br1 0.250 0.250 0.250 [8 per cell]

Summary:
E = -3.978 eV per atom
formation energy without anion corrections = -35.7 kJ per mole of atoms
spin magnetization = 16.76 Bohr magnetons per cell
E above lowest polymorph = 1.12 eV per formula unit

No. 2
Computed, not measured: a geometry-optimized Zr2HRu structure at the PBE level of DFT.

abc: 6.185 6.185 6.647
angles: 90.00 90.00 90.00
Space group I-42d (No. 122)
Inequivalent atoms, fractional coordinates:
Zr1 0.181 0.250 0.125 [8 per cell]
H1 0.000 0.000 0.000 [4 per cell]
Ru1 0.000 0.000 0.500 [4 per cell]

Summary:
E = -7.646 eV per atom
spin magnetization = 0.00 Bohr magnetons per cell
E above lowest polymorph = 0.00 eV per formula unit

No. 3
Computed, not measured: a geometry-optimized Pr8SbTe4S3 structure at the PBE level of DFT.

abc: 8.6849 8.6849 21.9238
angles: 90.00 90.00 120.00
Space group R-3m (No. 166, hexagonal axes)
Inequivalent atoms, fractional coordinates:
Pr1 0.0000 0.0000 0.2365 [6 per cell]
Pr2 0.0167 0.5084 0.7610 [18 per cell]
Sb1 0.0000 0.0000 0.5000 [3 per cell]
Te1 0.0000 0.0000 0.0000 [3 per cell]
Te2 0.0000 0.5000 0.0000 [9 per cell]
S1 0.0000 0.5000 0.5000 [9 per cell]

Summary:
E = -5.831 eV per atom
formation energy without anion corrections = -156.8 kJ per mole of atoms
spin magnetization = 0.00 Bohr magnetons per cell

No. 4
Computed, not measured: a geometry-optimized Cd2InAg structure at the PBE level of DFT.

abc: 4.437 4.437 8.874
angles: 90.00 90.00 90.00
Space group I4/mmm (No. 139)
Inequivalent atoms, fractional coordinates:
Cd1 0.000 0.500 0.250 [4 per cell]
In1 0.000 0.000 0.000 [2 per cell]
Ag1 0.000 0.000 0.500 [2 per cell]

Summary:
E = -1.834 eV per atom
spin magnetization = 0.00 Bohr magnetons per cell
formation energy = 2.0 kJ/mol of atoms

No. 5
Computed, not measured: a geometry-optimized Ho3AgRu structure at the PBE level of DFT.

abc: 6.387 9.849 15.461
angles: 90.00 90.00 90.00
Space group Fmmm (No. 69)
Inequivalent atoms, fractional coordinates:
Ho1 0.000 0.000 0.192 [8 per cell]
Ho2 0.000 0.183 0.390 [16 per cell]
Ag1 0.211 0.000 0.000 [8 per cell]
Ru1 0.250 0.250 0.250 [8 per cell]

Summary:
E = -5.519 eV per atom
spin magnetization = 0.00 Bohr magnetons per cell
E above lowest polymorph = 0.00 eV per formula unit
formation energy = -33.5 kJ/mol of atoms

No. 6
Computed, not measured: a geometry-optimized ReNiHg2 structure at the PBE level of DFT.

abc: 2.9344 2.9344 27.1876
angles: 90.00 90.00 120.00
Space group R-3m (No. 166, hexagonal axes)
Inequivalent atoms, fractional coordinates:
Re1 0.0000 0.0000 0.0000 [3 per cell]
Ni1 0.0000 0.0000 0.5000 [3 per cell]
Hg1 0.0000 0.0000 0.2448 [6 per cell]

Summary:
E = -4.048 eV per atom
spin magnetization = 0.70 Bohr magnetons per cell
E above lowest polymorph = 0.93 eV per formula unit
formation energy = 63.7 kJ/mol of atoms